1.
A PBEsol-optimized structure of YCuIr2, computed with meta-GGA SCAN.

Results
electronic total energy	-46.40	eV per atom
magnetization	0.3468	μB/atom
ΔH_f (0 K)	-89	meV per atom

```
data_YCuIr2
_chemical_formula_sum 'Y4 Cu4 Ir8'
_space_group_name_H-M_alt 'F -4 3 m'
_space_group_IT_number 216
_space_group_name_Hall 'F -4 2 3'
_cell_length_a 6.373
_cell_length_b 6.373
_cell_length_c 6.373
_cell_angle_alpha 90.00
_cell_angle_beta 90.00
_cell_angle_gamma 90.00
loop_
_atom_site_label
_atom_site_type_symbol
_atom_site_fract_x
_atom_site_fract_y
_atom_site_fract_z
Y1 Y 0.000 0.000 0.000
Cu1 Cu 0.250 0.250 0.250
Ir1 Ir 0.000 0.000 0.500
Ir2 Ir 0.250 0.250 0.750
```

2.
A PBEsol-optimized structure of Tl2Ge2Pb, computed with meta-GGA SCAN.

Results
electronic total energy	-51.54	eV per atom
magnetization	0.0000	μB/atom
ΔH_f (0 K)	193	meV per atom

```
data_Tl2Ge2Pb
_chemical_formula_sum 'Tl4 Ge4 Pb2'
_space_group_name_H-M_alt 'I 4/m m m'
_space_group_IT_number 139
_space_group_name_Hall '-I 4 2'
_cell_length_a 3.691
_cell_length_b 3.691
_cell_length_c 18.955
_cell_angle_alpha 90.00
_cell_angle_beta 90.00
_cell_angle_gamma 90.00
loop_
_atom_site_label
_atom_site_type_symbol
_atom_site_fract_x
_atom_site_fract_y
_atom_site_fract_z
Tl1 Tl 0.000 0.000 0.113
Ge1 Ge 0.000 0.500 0.250
Pb1 Pb 0.000 0.000 0.500
```

3.
A PBEsol-optimized structure of ZnAs2Br, computed with meta-GGA SCAN.

Results
formation energy from raw total energies	-64	kJ/mol of formula units
electronic total energy	-18.51	eV per atom
magnetization	0.0000	μB/atom

```
data_ZnAs2Br
_chemical_formula_sum 'Zn2 As4 Br2'
_space_group_name_H-M_alt 'C 1 2/m 1'
_space_group_IT_number 12
_cell_length_a 11.925
_cell_length_b 3.638
_cell_length_c 3.979
_cell_angle_alpha 90.00
_cell_angle_beta 98.97
_cell_angle_gamma 90.00
loop_
_space_group_symop_operation_xyz
'x,y,z'
'-x,-y,-z'
'-x,y,-z'
'x,-y,z'
'x+1/2,y+1/2,z'
'-x+1/2,-y+1/2,-z'
'-x+1/2,y+1/2,-z'
'x+1/2,-y+1/2,z'
loop_
_atom_site_label
_atom_site_type_symbol
_atom_site_fract_x
_atom_site_fract_y
_atom_site_fract_z
Zn1 Zn 0.000 0.000 0.000
As1 As 0.214 0.000 0.162
Br1 Br 0.000 0.500 0.500
```